This record from Alexandria via LeMat-Bulk describes a geometry-optimized CaTh2Te4 structure. The functional is PBE.

Geometry as CIF:
```
data_CaTh2Te4
_symmetry_space_group_name_H-M 'C m c m'
_symmetry_Int_Tables_number 63
_symmetry_space_group_name_Hall '-C 2c 2'
_cell_length_a 4.356
_cell_length_b 14.310
_cell_length_c 15.679
_cell_angle_alpha 90.00
_cell_angle_beta 90.00
_cell_angle_gamma 90.00
loop_
_atom_site_label
_atom_site_type_symbol
_atom_site_fract_x
_atom_site_fract_y
_atom_site_fract_z
Ca1 Ca 0.000 0.109 0.250
Th1 Th 0.000 0.361 0.064
Te1 Te 0.000 0.000 0.000
Te2 Te 0.000 0.284 0.628
Te3 Te 0.000 0.449 0.250
```

Values from the calculation:
The uncorrected formation energy comes out at -819.3 kJ/mol of formula units. The calculated total energy comes out at -5.414 eV/atom. The crystal system is orthorhombic.

---

This record from Alexandria via LeMat-Bulk describes a geometry-optimized Ca2ThTe4 structure. The functional is PBE.

Geometry as CIF:
```
data_Ca2ThTe4
_symmetry_space_group_name_H-M 'C m c m'
_symmetry_Int_Tables_number 63
_symmetry_space_group_name_Hall '-C 2c 2'
_cell_length_a 4.348
_cell_length_b 14.828
_cell_length_c 15.029
_cell_angle_alpha 90.00
_cell_angle_beta 90.00
_cell_angle_gamma 90.00
loop_
_atom_site_label
_atom_site_type_symbol
_atom_site_fract_x
_atom_site_fract_y
_atom_site_fract_z
Ca1 Ca 0.000 0.129 0.066
Th1 Th 0.000 0.378 0.250
Te1 Te 0.000 0.030 0.250
Te2 Te 0.000 0.220 0.625
Te3 Te 0.000 0.500 0.000
```

Values from the calculation:
The uncorrected formation energy comes out at -936.5 kJ/mol of formula units. The calculated total energy comes out at -4.814 eV/atom. The excess energy over the best structure of this formula in the dataset comes out at 48 meV per atom. The crystal system is orthorhombic.

---

This record from Alexandria via LeMat-Bulk describes a geometry-optimized Ca2ThTe4 structure. The functional is PBE.

Geometry as CIF:
```
data_Ca2ThTe4
_symmetry_space_group_name_H-M 'C m m m'
_symmetry_Int_Tables_number 65
_symmetry_space_group_name_Hall '-C 2 2'
_cell_length_a 9.027
_cell_length_b 12.816
_cell_length_c 4.535
_cell_angle_alpha 90.00
_cell_angle_beta 90.00
_cell_angle_gamma 90.00
loop_
_atom_site_label
_atom_site_type_symbol
_atom_site_fract_x
_atom_site_fract_y
_atom_site_fract_z
Ca1 Ca 0.250 0.250 0.000
Th1 Th 0.000 0.000 0.500
Te1 Te 0.000 0.246 0.500
Te2 Te 0.243 0.000 0.000
```

Values from the calculation:
The uncorrected formation energy comes out at -968.7 kJ/mol of formula units. The calculated total energy comes out at -4.861 eV/atom. The excess energy over the best structure of this formula in the dataset comes out at 0 meV per atom. The crystal system is orthorhombic.

---

This record from Alexandria via LeMat-Bulk describes a geometry-optimized CaThTl2Te4 structure. The functional is PBE.

Geometry as CIF:
```
data_CaThTl2Te4
_symmetry_space_group_name_H-M 'P 1 2/m 1'
_symmetry_Int_Tables_number 10
_cell_length_a 7.867
_cell_length_b 4.596
_cell_length_c 8.585
_cell_angle_alpha 90.00
_cell_angle_beta 107.90
_cell_angle_gamma 90.00
loop_
_symmetry_equiv_pos_as_xyz
'x,y,z'
'-x,-y,-z'
'-x,y,-z'
'x,-y,z'
loop_
_atom_site_label
_atom_site_type_symbol
_atom_site_fract_x
_atom_site_fract_y
_atom_site_fract_z
Ca1 Ca 0.000 0.000 0.000
Th1 Th 0.500 0.500 0.000
Tl1 Tl 0.000 0.500 0.500
Tl2 Tl 0.500 0.000 0.500
Te1 Te 0.247 0.500 0.216
Te2 Te 0.267 0.000 0.781
```

Values from the calculation:
The uncorrected formation energy comes out at -776.9 kJ/mol of formula units. The calculated total energy comes out at -4.347 eV/atom. The crystal system is monoclinic.